The following is a DFT calculation (PBE) of a relaxed Al2Ga2Br7 crystal.

Computed properties:
**Volume**: 853.8 Å³ per cell
**Space-group type**: P2_1/c (14)
**Total magnetization**: 0.0814 μB/atom
**DOS(E_F)**: 0.200 states/eV per atom
**Uncorrected formation energy**: -0.748 eV per atom

abc: 6.6452 8.1367 15.9574
angles: 90.00 90.00 98.28
Fractional coordinates of all 22 atoms:
Al  0.1510  0.3342  0.1133
Al  0.1510  0.8342  0.3867
Al  0.8490  0.1658  0.6133
Al  0.8490  0.6658  0.8867
Br  0.2970  0.6059  0.4411
Br  0.8978  0.2279  0.2134
Br  0.7030  0.3941  0.5589
Br  0.1022  0.2721  0.7134
Br  0.4100  0.5154  0.1850
Br  0.2970  0.1059  0.0589
Br  0.1022  0.7721  0.7866
Br  0.0000  0.5000  0.0000
Br  0.8978  0.7279  0.2866
Br  0.5900  0.4846  0.8150
Br  0.4100  0.0154  0.3150
Br  0.7030  0.8941  0.9411
Br  0.0000  0.0000  0.5000
Br  0.5900  0.9846  0.6850
Ga  0.3920  0.5769  0.6561
Ga  0.6080  0.9231  0.1561
Ga  0.6080  0.4231  0.3439
Ga  0.3920  0.0769  0.8439